one | DFT (GGA-PBE) results for crystalline LaPt3C at its relaxed geometry.

Cell: 4.4074 4.4074 4.4074 Å, 90.00 90.00 90.00°
Space group Pm-3m (No. 221)
One atom of each set of equivalent atoms:
La (0.0000, 0.0000, 0.0000)
Pt (0.0000, 0.5000, 0.5000)
C (0.5000, 0.5000, 0.5000)

two | DFT (GGA-PBE) results for crystalline LaPt3C at its relaxed geometry.

Cell: 5.2657 5.2657 5.2657 Å, 90.00 90.00 90.00°
Space group Pm-3m (No. 221)
One atom of each set of equivalent atoms:
La (0.0000, 0.0000, 0.0000)
Pt (0.0000, 0.0000, 0.5000)
C (0.5000, 0.5000, 0.5000)

Relative energy of each structure, in kJ/mol of atoms: one 0.0; two 250.0.

one | DFT (GGA-PBE) results for crystalline LaReC2 at its relaxed geometry.

Cell: 3.2750 3.2750 17.4549 Å, 90.00 90.00 120.00°
Space group R-3m (No. 166, hexagonal axes)
One atom of each set of equivalent atoms:
La (0.0000, 0.0000, 0.0000)
Re (0.0000, 0.0000, 0.5000)
C (0.0000, 0.0000, 0.2306)

two | DFT (GGA-PBE) results for crystalline LaReC2 at its relaxed geometry.

Cell: 7.0286 8.4784 5.3954 Å, 90.00 122.27 90.00°
Space group C2/c (No. 15)
One atom of each set of equivalent atoms:
La (0.0000, 0.1393, 0.2500)
Re (0.0000, 0.4689, 0.7500)
C (0.1904, 0.3934, 0.1727)

three | DFT (GGA-PBE) results for crystalline LaReC2 at its relaxed geometry.

Cell: 5.9676 5.9676 5.9676 Å, 90.00 90.00 90.00°
Space group Fm-3m (No. 225)
One atom of each set of equivalent atoms:
La (0.0000, 0.0000, 0.0000)
Re (0.0000, 0.0000, 0.5000)
C (0.2500, 0.2500, 0.2500)

Relative energy of each structure, in kJ/mol of atoms: one 11.2; two 0.0; three 102.2.